a:
Below is a relaxed Ni2Ir crystal, with properties calculated at the GGA-PBEsol level. Values from VASP.

Values from the calculation:
Total magnetic moment = 2.826 μB per cell
Space-group type = Cm, No. 8

Quantum ESPRESSO input file:
```
&SYSTEM
  ibrav = 0, nat = 6, ntyp = 2
/
ATOMIC_SPECIES
Ni 58.69 Ni.upf
Ir 192.22 Ir.upf
CELL_PARAMETERS angstrom
-1.908 1.459 1.017
-0.381 -4.325 2.145
4.050 2.950 3.366
ATOMIC_POSITIONS crystal
Ni 0.388 0.776 0.280
Ni 0.721 0.443 0.937
Ir 0.669 0.338 0.342
Ni 0.334 0.669 0.668
Ir 0.999 0.998 0.996
Ni 0.054 0.109 0.611
```

---

b:
Below is a relaxed Ni2Ir crystal, with properties calculated at the GGA-PBEsol level. Values from VASP.

Values from the calculation:
Total magnetic moment = 1.031 μB per cell
Space-group type = P-3m1, No. 164

Quantum ESPRESSO input file:
```
&SYSTEM
  ibrav = 0, nat = 3, ntyp = 2
/
ATOMIC_SPECIES
Ir 192.22 Ir.upf
Ni 58.69 Ni.upf
CELL_PARAMETERS angstrom
-1.238 -1.404 -1.808
2.179 -0.914 1.090
-3.302 -2.687 4.345
ATOMIC_POSITIONS crystal
Ir 0.000 0.000 0.000
Ni 0.333 0.667 0.659
Ni 0.667 0.333 0.341
```

---

c:
Below is a relaxed Ni2Ir crystal, with properties calculated at the GGA-PBEsol level. Values from VASP.

Values from the calculation:
Total magnetic moment = 0.006 μB per cell
Space-group type = Cmcm, No. 63

Quantum ESPRESSO input file:
```
&SYSTEM
  ibrav = 0, nat = 6, ntyp = 2
/
ATOMIC_SPECIES
Ni 58.69 Ni.upf
Ir 192.22 Ir.upf
CELL_PARAMETERS angstrom
-3.539 -0.009 0.427
0.347 -2.241 2.833
2.159 4.250 3.098
ATOMIC_POSITIONS crystal
Ni 0.585 0.750 0.169
Ni 0.749 0.250 0.498
Ir 0.085 0.250 0.171
Ir 0.915 0.750 0.829
Ni 0.251 0.750 0.502
Ni 0.415 0.250 0.831
```

---

d:
Below is a relaxed Ni2Ir crystal, with properties calculated at the GGA-PBEsol level. Values from VASP.

Values from the calculation:
Total magnetic moment = 1.943 μB per cell
Space-group type = P6/mmm, No. 191

Quantum ESPRESSO input file:
```
&SYSTEM
  ibrav = 0, nat = 3, ntyp = 2
/
ATOMIC_SPECIES
Ni 58.69 Ni.upf
Ir 192.22 Ir.upf
CELL_PARAMETERS angstrom
-2.394 -0.699 0.376
-0.228 -1.268 -3.814
1.193 -2.531 2.894
ATOMIC_POSITIONS crystal
Ni 0.000 0.667 0.333
Ir 0.500 0.000 0.000
Ni 0.000 0.333 0.667
```

---

What should be chosen as the most stable of them? Choose c.

---

a:
Below is a relaxed Ni2Ir crystal, with properties calculated at the GGA-PBEsol level. Values from VASP.

Values from the calculation:
Total magnetic moment = 0.062 μB per cell
Space-group type = Pnma, No. 62

Quantum ESPRESSO input file:
```
&SYSTEM
  ibrav = 0, nat = 12, ntyp = 2
/
ATOMIC_SPECIES
Ir 192.22 Ir.upf
Ni 58.69 Ni.upf
CELL_PARAMETERS angstrom
3.633 0.000 0.000
0.000 5.074 0.000
0.000 0.000 7.597
ATOMIC_POSITIONS crystal
Ir 0.750 0.370 0.416
Ir 0.250 0.630 0.584
Ni 0.250 0.624 0.916
Ir 0.750 0.870 0.084
Ni 0.750 0.882 0.749
Ni 0.250 0.124 0.584
Ni 0.750 0.376 0.084
Ni 0.750 0.382 0.751
Ni 0.250 0.618 0.249
Ni 0.250 0.118 0.251
Ni 0.750 0.876 0.416
Ir 0.250 0.130 0.916
```

---

b:
Below is a relaxed Ni2Ir crystal, with properties calculated at the GGA-PBEsol level. Values from VASP.

Values from the calculation:
Total magnetic moment = 0.755 μB per cell
Space-group type = C2/m, No. 12

Quantum ESPRESSO input file:
```
&SYSTEM
  ibrav = 0, nat = 6, ntyp = 2
/
ATOMIC_SPECIES
Ni 58.69 Ni.upf
Ir 192.22 Ir.upf
CELL_PARAMETERS angstrom
-2.571 0.311 0.433
1.059 -4.442 1.518
1.218 3.589 4.657
ATOMIC_POSITIONS crystal
Ni 0.641 0.283 0.532
Ir 0.976 0.953 0.201
Ni 0.697 0.395 0.141
Ir 0.024 0.047 0.799
Ni 0.303 0.605 0.859
Ni 0.359 0.717 0.468
```

---

c:
Below is a relaxed Ni2Ir crystal, with properties calculated at the GGA-PBEsol level. Values from VASP.

Values from the calculation:
Total magnetic moment = 0.000 μB per cell
Space-group type = I4/mmm, No. 139

Quantum ESPRESSO input file:
```
&SYSTEM
  ibrav = 0, nat = 3, ntyp = 2
/
ATOMIC_SPECIES
Ir 192.22 Ir.upf
Ni 58.69 Ni.upf
CELL_PARAMETERS angstrom
2.618 0.000 0.000
0.000 2.618 0.000
-1.309 -1.309 5.132
ATOMIC_POSITIONS crystal
Ir 0.000 0.000 0.000
Ni 0.330 0.330 0.660
Ni 0.670 0.670 0.340
```

---

What should be chosen as the most stable of them? Choose a.

---

a:
Below is a relaxed NiP2Ir crystal, with properties calculated at the GGA-PBEsol level. Values from VASP.

Values from the calculation:
Total magnetic moment = 0.000 μB per cell
Space-group type = P4mm, No. 99

Quantum ESPRESSO input file:
```
&SYSTEM
  ibrav = 0, nat = 4, ntyp = 3
/
ATOMIC_SPECIES
P 30.97 P.upf
Ir 192.22 Ir.upf
Ni 58.69 Ni.upf
CELL_PARAMETERS angstrom
2.800 0.000 0.000
0.000 2.800 0.000
0.000 0.000 7.188
ATOMIC_POSITIONS crystal
P 0.000 0.000 0.925
P 0.500 0.500 0.309
Ir 0.000 0.000 0.497
Ni 0.500 0.500 0.768
```

---

b:
Below is a relaxed NiP2Ir crystal, with properties calculated at the GGA-PBEsol level. Values from VASP.

Values from the calculation:
Total magnetic moment = 0.000 μB per cell
Space-group type = Cm, No. 8

Quantum ESPRESSO input file:
```
&SYSTEM
  ibrav = 0, nat = 4, ntyp = 3
/
ATOMIC_SPECIES
P 30.97 P.upf
Ni 58.69 Ni.upf
Ir 192.22 Ir.upf
CELL_PARAMETERS angstrom
3.408 0.000 0.000
-1.704 3.237 -0.072
0.000 -0.155 4.977
ATOMIC_POSITIONS crystal
P 0.276 0.552 0.254
Ni 0.674 0.347 0.989
Ir 0.589 0.178 0.485
P 0.962 0.923 0.772
```

---

What should be chosen as the most stable of them? Choose b.

---

a:
Below is a relaxed NiIrPb2 crystal, with properties calculated at the GGA-PBEsol level. Values from VASP.

Values from the calculation:
Total magnetic moment = 0.696 μB per cell
Space-group type = R3m, No. 160

Quantum ESPRESSO input file:
```
&SYSTEM
  ibrav = 0, nat = 4, ntyp = 3
/
ATOMIC_SPECIES
Ni 58.69 Ni.upf
Pb 207.20 Pb.upf
Ir 192.22 Ir.upf
CELL_PARAMETERS angstrom
-1.713 1.534 -2.100
-2.810 1.090 0.780
2.548 9.297 2.403
ATOMIC_POSITIONS crystal
Ni 0.239 0.239 0.282
Pb 0.978 0.978 0.065
Pb 0.769 0.769 0.694
Ir 0.514 0.514 0.459
```

---

b:
Below is a relaxed NiIrPb2 crystal, with properties calculated at the GGA-PBEsol level. Values from VASP.

Values from the calculation:
Total magnetic moment = 0.000 μB per cell
Space-group type = Immm, No. 71

Quantum ESPRESSO input file:
```
&SYSTEM
  ibrav = 0, nat = 4, ntyp = 3
/
ATOMIC_SPECIES
Pb 207.20 Pb.upf
Ir 192.22 Ir.upf
Ni 58.69 Ni.upf
CELL_PARAMETERS angstrom
-3.565 2.644 1.162
-1.683 -0.211 4.374
0.695 3.668 2.841
ATOMIC_POSITIONS crystal
Pb 0.752 0.248 0.248
Pb 0.248 0.752 0.752
Ir 0.000 0.500 0.500
Ni 0.500 0.000 0.000
```

---

What should be chosen as the most stable of them? Choose b.

---

a:
Below is a relaxed NiIr2Pt crystal, with properties calculated at the GGA-PBEsol level. Values from VASP.

Values from the calculation:
Total magnetic moment = 0.002 μB per cell
Space-group type = P4mm, No. 99

Quantum ESPRESSO input file:
```
&SYSTEM
  ibrav = 0, nat = 4, ntyp = 3
/
ATOMIC_SPECIES
Ir 192.22 Ir.upf
Pt 195.08 Pt.upf
Ni 58.69 Ni.upf
CELL_PARAMETERS angstrom
-1.337 1.879 -1.410
-1.812 0.208 1.995
4.063 5.249 3.145
ATOMIC_POSITIONS crystal
Ir 0.500 0.500 0.260
Pt 0.500 0.500 0.738
Ni 0.000 0.000 0.493
Ir 0.000 0.000 0.009
```

---

b:
Below is a relaxed NiIr2Pt crystal, with properties calculated at the GGA-PBEsol level. Values from VASP.

Values from the calculation:
Total magnetic moment = 0.001 μB per cell
Space-group type = C2/m, No. 12

Quantum ESPRESSO input file:
```
&SYSTEM
  ibrav = 0, nat = 4, ntyp = 3
/
ATOMIC_SPECIES
Ir 192.22 Ir.upf
Pt 195.08 Pt.upf
Ni 58.69 Ni.upf
CELL_PARAMETERS angstrom
2.696 0.000 0.000
-1.348 4.405 -0.006
0.000 -0.863 4.541
ATOMIC_POSITIONS crystal
Ir 0.245 0.489 0.241
Ir 0.755 0.511 0.759
Pt 0.000 0.000 0.500
Ni 0.500 0.000 0.000
```

---

c:
Below is a relaxed NiIr2Pt crystal, with properties calculated at the GGA-PBEsol level. Values from VASP.

Values from the calculation:
Total magnetic moment = 0.000 μB per cell
Space-group type = Immm, No. 71

Quantum ESPRESSO input file:
```
&SYSTEM
  ibrav = 0, nat = 4, ntyp = 3
/
ATOMIC_SPECIES
Ir 192.22 Ir.upf
Pt 195.08 Pt.upf
Ni 58.69 Ni.upf
CELL_PARAMETERS angstrom
-2.126 1.416 -0.825
-0.002 -2.243 -3.843
-1.722 -2.706 4.156
ATOMIC_POSITIONS crystal
Ir 0.772 0.772 0.544
Ir 0.228 0.228 0.456
Pt 0.000 0.500 0.000
Ni 0.500 0.000 0.000
```

---

d:
Below is a relaxed NiIr2Pt crystal, with properties calculated at the GGA-PBEsol level. Values from VASP.

Values from the calculation:
Total magnetic moment = 0.001 μB per cell
Space-group type = Imm2, No. 44

Quantum ESPRESSO input file:
```
&SYSTEM
  ibrav = 0, nat = 4, ntyp = 3
/
ATOMIC_SPECIES
Pt 195.08 Pt.upf
Ir 192.22 Ir.upf
Ni 58.69 Ni.upf
CELL_PARAMETERS angstrom
-1.705 -1.400 -1.507
3.215 -3.121 -0.738
-2.118 -0.006 4.770
ATOMIC_POSITIONS crystal
Pt 0.240 0.740 0.481
Ir 0.758 0.258 0.515
Ir 0.006 0.006 0.012
Ni 0.496 0.496 0.992
```

---

What should be chosen as the most stable of them? Choose a.